Entry 1:
A plane-wave DFT calculation with PBE+U was carried out for crystalline RbLiNiF6 at its relaxed geometry.

Computed properties:
calculated total energy: -71.8 eV for the cell shown
D(E_F): 0.000 states/eV/f.u.

Lattice parameters (Å, degrees): 5.1823 5.1823 12.0973 90.00 90.00 120.00
Space group P-31c (No. 163)
Inequivalent atoms, fractional coordinates:
Rb  0.0000  0.0000  0.0000 x2
Li  0.3333  0.6667  0.2500 x2
Ni  0.3333  0.6667  0.7500 x2
F  0.0383  0.3921  0.6645 x12


Entry 2:
A plane-wave DFT calculation with PBE+U was carried out for crystalline Rb2LiNi3F12 at its relaxed geometry.

Computed properties:
calculated total energy: -217.7 eV for the cell shown
D(E_F): 0.047 states/eV/f.u.

Lattice parameters (Å, degrees): 7.2460 7.2460 16.8685 90.00 90.00 120.00
Space group R-3m (No. 166, hexagonal axes)
Inequivalent atoms, fractional coordinates:
Rb  0.0000  0.0000  0.1261 x6
Li  0.0000  0.0000  0.5000 x3
Ni  0.0000  0.5000  0.0000 x9
F  0.0577  0.5288  0.1042 x18
F  0.0691  0.5346  0.3544 x18


Entry 3:
A plane-wave DFT calculation with PBE+U was carried out for crystalline RbLi2NiF8 at its relaxed geometry.

Computed properties:
calculated total energy: -46.8 eV for the cell shown

Lattice parameters (Å, degrees): 4.615 4.636 7.807 88.92 85.13 89.46
Space group P-1 (No. 2)
Inequivalent atoms, fractional coordinates:
Rb  0.000  0.000  0.000 x1
Li  0.488  0.509  0.675 x2
Ni  0.000  0.000  0.500 x1
F  0.180  0.187  0.660 x2
F  0.211  0.184  0.325 x2
F  0.272  0.718  0.499 x2
F  0.352  0.503  0.916 x2


Entry 4:
A plane-wave DFT calculation with PBE+U was carried out for crystalline LiRe2NiF at its relaxed geometry.

Computed properties:
calculated total energy: -24.3 eV for the cell shown
D(E_F): 3.864 states/eV/f.u.

Lattice parameters (Å, degrees): 4.010 4.010 4.423 90.00 90.00 90.00
Space group P4/mmm (No. 123)
Inequivalent atoms, fractional coordinates:
Li  0.000  0.000  0.000 x1
Re  0.000  0.500  0.500 x2
Ni  0.500  0.500  0.000 x1
F  0.500  0.500  0.500 x1


Entry 5:
A plane-wave DFT calculation with PBE+U was carried out for crystalline LiNiRhF6 at its relaxed geometry.

Computed properties:
calculated total energy: -83.5 eV for the cell shown
D(E_F): 0.000 states/eV/f.u.

Lattice parameters (Å, degrees): 4.711 4.711 9.325 90.00 90.00 90.00
Space group P4_2nm (No. 102)
Inequivalent atoms, fractional coordinates:
Li  0.000  0.000  0.000 x2
Ni  0.000  0.000  0.669 x2
Rh  0.000  0.000  0.333 x2
F  0.193  0.193  0.499 x4
F  0.196  0.196  0.168 x4
F  0.198  0.198  0.834 x4


Entry 6:
A plane-wave DFT calculation with PBE+U was carried out for crystalline LiNiRuF6 at its relaxed geometry.

Computed properties:
calculated total energy: -87.3 eV for the cell shown
D(E_F): 3.825 states/eV/f.u.

Lattice parameters (Å, degrees): 4.709 4.709 9.404 90.00 90.00 90.00
Space group P4_2nm (No. 102)
Inequivalent atoms, fractional coordinates:
Li  0.000  0.000  0.000 x2
Ni  0.000  0.000  0.666 x2
Ru  0.000  0.000  0.331 x2
F  0.194  0.194  0.499 x4
F  0.197  0.197  0.166 x4
F  0.199  0.199  0.832 x4


Entry 7:
A plane-wave DFT calculation with PBE+U was carried out for crystalline LiScNiF6 at its relaxed geometry.

Computed properties:
calculated total energy: -100.7 eV for the cell shown
D(E_F): 0.000 states/eV/f.u.

Lattice parameters (Å, degrees): 4.773 4.773 9.377 90.00 90.00 90.00
Space group P4_2nm (No. 102)
Inequivalent atoms, fractional coordinates:
Li  0.000  0.000  0.000 x2
Sc  0.000  0.000  0.665 x2
Ni  0.000  0.000  0.330 x2
F  0.195  0.195  0.498 x4
F  0.198  0.198  0.168 x4
F  0.200  0.200  0.828 x4


Entry 8:
A plane-wave DFT calculation with PBE+U was carried out for crystalline SrLi2NiF6 at its relaxed geometry.

Computed properties:
calculated total energy: -48.9 eV for the cell shown
D(E_F): 0.000 states/eV/f.u.

Lattice parameters (Å, degrees): 5.375 5.376 5.755 62.18 62.28 60.10
Space group P1 (No. 1)
Inequivalent atoms, fractional coordinates:
Sr  0.000  0.000  0.000 x1
Li  0.217  0.215  0.351 x1
Li  0.731  0.731  0.808 x1
Ni  0.522  0.522  0.434 x1
F  0.117  0.797  0.631 x1
F  0.373  0.538  0.159 x1
F  0.455  0.117  0.632 x1
F  0.539  0.929  0.157 x1
F  0.794  0.456  0.633 x1
F  0.929  0.374  0.158 x1


Entry 9:
A plane-wave DFT calculation with PBE+U was carried out for crystalline SrLi2NiF8 at its relaxed geometry.

Computed properties:
calculated total energy: -53.0 eV for the cell shown

Lattice parameters (Å, degrees): 4.644 4.968 6.887 80.60 82.87 81.77
Space group P-1 (No. 2)
Inequivalent atoms, fractional coordinates:
Sr  0.000  0.000  0.000 x1
Li  0.451  0.447  0.225 x2
Ni  0.000  0.000  0.500 x1
F  0.174  0.779  0.700 x2
F  0.211  0.807  0.317 x2
F  0.268  0.232  0.472 x2
F  0.365  0.299  0.993 x2


Entry 10:
A plane-wave DFT calculation with PBE+U was carried out for crystalline SrLiNiF6 at its relaxed geometry.

Computed properties:
calculated total energy: -42.3 eV for the cell shown
D(E_F): 0.000 states/eV/f.u.

Lattice parameters (Å, degrees): 5.2192 5.2192 5.2139 90.00 90.00 120.00
Space group P312 (No. 149)
Inequivalent atoms, fractional coordinates:
Sr  0.0000  0.0000  0.0000 x1
Li  0.3333  0.6667  0.5000 x1
Ni  0.6667  0.3333  0.5000 x1
F  0.3775  0.0199  0.7084 x6


Entry 11:
A plane-wave DFT calculation with PBE+U was carried out for crystalline SrLiNiF6 at its relaxed geometry.

Computed properties:
calculated total energy: -84.6 eV for the cell shown
D(E_F): 0.000 states/eV/f.u.

Lattice parameters (Å, degrees): 5.2206 5.2206 10.4302 90.00 90.00 120.00
Space group P-31c (No. 163)
Inequivalent atoms, fractional coordinates:
Sr  0.0000  0.0000  0.0000 x2
Li  0.3333  0.6667  0.2500 x2
Ni  0.3333  0.6667  0.7500 x2
F  0.0203  0.3776  0.6459 x12


Entry 12:
A plane-wave DFT calculation with PBE+U was carried out for crystalline Li2TbNiF8 at its relaxed geometry.

Computed properties:
calculated total energy: -60.6 eV for the cell shown
D(E_F): 0.000 states/eV/f.u.

Lattice parameters (Å, degrees): 4.738 6.562 4.750 90.00 91.48 90.00
Space group P2/m (No. 10)
Inequivalent atoms, fractional coordinates:
Li  0.000  0.242  0.000 x2
Tb  0.500  0.500  0.500 x1
Ni  0.500  0.000  0.500 x1
F  0.182  0.500  0.814 x2
F  0.225  0.000  0.773 x2
F  0.303  0.223  0.301 x4


Entry 13:
A plane-wave DFT calculation with PBE+U was carried out for crystalline LiTbNiF6 at its relaxed geometry.

Computed properties:
calculated total energy: -96.9 eV for the cell shown
D(E_F): 0.000 states/eV/f.u.

Lattice parameters (Å, degrees): 5.4955 5.4955 8.8973 90.00 90.00 120.00
Space group P-31c (No. 163)
Inequivalent atoms, fractional coordinates:
Li  0.0000  0.0000  0.0000 x2
Tb  0.3333  0.6667  0.2500 x2
Ni  0.3333  0.6667  0.7500 x2
F  0.0255  0.3497  0.6274 x12


Entry 14:
A plane-wave DFT calculation with PBE+U was carried out for crystalline Li2Tl2NiF6 at its relaxed geometry.

Computed properties:
calculated total energy: -141.7 eV for the cell shown
D(E_F): 0.000 states/eV/f.u.

Lattice parameters (Å, degrees): 5.9504 5.9504 16.3899 90.00 90.00 120.00
Space group R-3m (No. 166, hexagonal axes)
Inequivalent atoms, fractional coordinates:
Li  0.0000  0.0000  0.0955 x6
Tl  0.0000  0.0000  0.2871 x6
Ni  0.0000  0.0000  0.5000 x3
F  0.0182  0.5091  0.2427 x18


Entry 15:
A plane-wave DFT calculation with PBE+U was carried out for crystalline LiTl2NiF6 at its relaxed geometry.

Computed properties:
calculated total energy: -40.6 eV for the cell shown
D(E_F): 5.921 states/eV/f.u.

Lattice parameters (Å, degrees): 5.6480 5.6480 5.0412 90.00 90.00 120.00
Space group P-3m1 (No. 164)
Inequivalent atoms, fractional coordinates:
Li  0.0000  0.0000  0.0000 x1
Tl  0.3333  0.6667  0.7810 x2
Ni  0.0000  0.0000  0.5000 x1
F  0.1596  0.3193  0.2517 x6


Entry 16:
A plane-wave DFT calculation with PBE+U was carried out for crystalline LiTlNiF6 at its relaxed geometry.

Computed properties:
calculated total energy: -75.7 eV for the cell shown
D(E_F): 0.000 states/eV/f.u.

Lattice parameters (Å, degrees): 4.881 4.881 9.730 90.00 90.00 90.00
Space group P4_2nm (No. 102)
Inequivalent atoms, fractional coordinates:
Li  0.000  0.000  0.000 x2
Tl  0.000  0.000  0.333 x2
Ni  0.000  0.000  0.667 x2
F  0.183  0.183  0.831 x4
F  0.198  0.198  0.512 x4
F  0.206  0.206  0.161 x4


Entry 17:
A plane-wave DFT calculation with PBE+U was carried out for crystalline Li2TmNiF8 at its relaxed geometry.

Computed properties:
calculated total energy: -121.5 eV for the cell shown
D(E_F): 0.000 states/eV/f.u.

Lattice parameters (Å, degrees): 6.666 6.687 6.450 90.00 90.00 90.00
Space group Cmmm (No. 65)
Inequivalent atoms, fractional coordinates:
Li  0.000  0.000  0.237 x4
Tm  0.000  0.500  0.500 x2
Ni  0.000  0.500  0.000 x2
F  0.000  0.305  0.229 x8
F  0.186  0.000  0.500 x4
F  0.221  0.000  0.000 x4


Entry 18:
A plane-wave DFT calculation with PBE+U was carried out for crystalline LiVNiF6 at its relaxed geometry.

Computed properties:
calculated total energy: -94.5 eV for the cell shown
D(E_F): 0.000 states/eV/f.u.

Lattice parameters (Å, degrees): 4.707 4.707 9.268 90.00 90.00 90.00
Space group P4_2nm (No. 102)
Inequivalent atoms, fractional coordinates:
Li  0.000  0.000  0.000 x2
V  0.000  0.000  0.668 x2
Ni  0.000  0.000  0.333 x2
F  0.194  0.194  0.504 x4
F  0.197  0.197  0.829 x4
F  0.204  0.204  0.169 x4


Entry 19:
A plane-wave DFT calculation with PBE+U was carried out for crystalline Li2YNiF8 at its relaxed geometry.

Computed properties:
calculated total energy: -62.4 eV for the cell shown
D(E_F): 0.000 states/eV/f.u.

Lattice parameters (Å, degrees): 4.729 6.553 4.730 90.00 90.71 90.00
Space group P2/m (No. 10)
Inequivalent atoms, fractional coordinates:
Li  0.000  0.233  0.000 x2
Y  0.500  0.500  0.500 x1
Ni  0.500  0.000  0.500 x1
F  0.183  0.500  0.819 x2
F  0.224  0.000  0.778 x2
F  0.302  0.225  0.304 x4